The following is a DFT calculation (PBE-GGA) of crystalline PmThGe at its relaxed geometry.

The formation energy comes out at -0.383 eV per atom. The space-group type is F-43m, No. 216.

Unit cell a=5.0146 b=5.0146 c=5.0146 alpha=60.00 beta=60.00 gamma=60.00
Closest atoms and distances in Å follow each position.
Sites, in units of the cell vectors:
Ge (0.2500, 0.2500, 0.2500)  4 Th 3.07, 4 Pm 3.07
Th (0.5000, 0.5000, 0.5000)  4 Ge 3.07
Pm (0.0000, 0.0000, 0.0000)  4 Ge 3.07